First-principles (PBE) data for TaHg2Ru after structural relaxation, as listed in the Alexandria database.

Unit cell a=5.1920 b=5.1920 c=4.7216 alpha=78.23 beta=78.23 gamma=36.07
With the nearest neighbours (Å) after each atom.
Atoms (fractional coordinates):
Hg1 0.9966 0.9966 0.0042  4 Hg 2.84-2.88, 3 Ta 2.94-3.00, 3 Ru 2.94-2.98
Hg2 0.5034 0.5034 0.4958  4 Hg 2.84-2.88, 3 Ta 2.94-3.00, 3 Ru 2.94-2.98
Ru1 0.2500 0.2500 0.2500  4 Ta 2.86, 6 Hg 2.94-2.98
Ta1 0.7500 0.7500 0.7500  4 Ru 2.86, 6 Hg 2.94-3.00

Computed properties:
**E_form**: 0.42 eV/atom
**Crystal system**: monoclinic
**Energy relative to the lowest polymorph listed for this composition**: 1.14 eV per formula unit
**Density**: 15.50 g cm⁻³
**Fermi-level density of states**: 3.0 states/eV/f.u.